(1)
# DyBeNiGe2 | Alexandria via LeMat-Bulk | PBE-GGA | relaxed
data_DyBeNiGe2
_cell_length_a 3.9379
_cell_length_b 3.9379
_cell_length_c 10.1568
_cell_angle_alpha 90.00
_cell_angle_beta 90.00
_cell_angle_gamma 90.00
_symmetry_space_group_name_H-M 'I -4 m 2'
_symmetry_Int_Tables_number 119
_symmetry_space_group_name_Hall 'I -4 -2'
loop_
_atom_site_label
_atom_site_fract_x
_atom_site_fract_y
_atom_site_fract_z
Dy1 0.0000 0.0000 0.0000
Be1 0.0000 0.5000 0.7500
Ni1 0.0000 0.5000 0.2500
Ge1 0.0000 0.0000 0.3760
# N(E_F) (states/eV/f.u.): 1.34
# Energy (eV/atom): -5.246
# Total magnetization (μB/cell): 0.00

=====

(2)
# Dy2BeNi4Ge3 | Alexandria via LeMat-Bulk | PBE-GGA | relaxed
data_Dy2BeNi4Ge3
_cell_length_a 3.9956
_cell_length_b 3.9956
_cell_length_c 9.6631
_cell_angle_alpha 90.00
_cell_angle_beta 90.00
_cell_angle_gamma 90.00
_symmetry_space_group_name_H-M 'P -4 m 2'
_symmetry_Int_Tables_number 115
_symmetry_space_group_name_Hall 'P -4 -2'
loop_
_atom_site_label
_atom_site_fract_x
_atom_site_fract_y
_atom_site_fract_z
Dy1 0.0000 0.5000 0.2425
Be1 0.5000 0.5000 0.0000
Ni1 0.0000 0.0000 0.5000
Ni2 0.0000 0.5000 0.8776
Ni3 0.5000 0.5000 0.5000
Ge1 0.0000 0.0000 0.0000
Ge2 0.0000 0.5000 0.6358
# N(E_F) (states/eV/f.u.): 6.69
# Energy (eV/atom): -5.624
# Total magnetization (μB/cell): 0.00

=====

(3)
# Dy2Be3Ge4Pd | Alexandria via LeMat-Bulk | PBE-GGA | relaxed
data_Dy2Be3Ge4Pd
_cell_length_a 4.0400
_cell_length_b 4.0400
_cell_length_c 9.9817
_cell_angle_alpha 90.00
_cell_angle_beta 90.00
_cell_angle_gamma 90.00
_symmetry_space_group_name_H-M 'P -4 m 2'
_symmetry_Int_Tables_number 115
_symmetry_space_group_name_Hall 'P -4 -2'
loop_
_atom_site_label
_atom_site_fract_x
_atom_site_fract_y
_atom_site_fract_z
Dy1 0.0000 0.5000 0.2500
Be1 0.0000 0.0000 0.0000
Be2 0.0000 0.5000 0.6312
Ge1 0.0000 0.0000 0.5000
Ge2 0.0000 0.5000 0.8541
Ge3 0.5000 0.5000 0.5000
Pd1 0.5000 0.5000 0.0000
# N(E_F) (states/eV/f.u.): 1.29
# Energy (eV/atom): -4.872
# Total magnetization (μB/cell): 0.00

=====

(4)
# PmDyBeGe | Alexandria via LeMat-Bulk | PBE-GGA | relaxed
data_PmDyBeGe
_cell_length_a 7.0485
_cell_length_b 7.0485
_cell_length_c 7.0485
_cell_angle_alpha 90.00
_cell_angle_beta 90.00
_cell_angle_gamma 90.00
_symmetry_space_group_name_H-M 'F -4 3 m'
_symmetry_Int_Tables_number 216
_symmetry_space_group_name_Hall 'F -4 2 3'
loop_
_atom_site_label
_atom_site_fract_x
_atom_site_fract_y
_atom_site_fract_z
Pm1 0.0000 0.0000 0.0000
Dy1 0.0000 0.0000 0.5000
Be1 0.2500 0.2500 0.2500
Ge1 0.2500 0.2500 0.7500
# N(E_F) (states/eV/f.u.): 1.27
# Energy (eV/atom): -4.696
# Total magnetization (μB/cell): 0.00

=====

(5)
# Dy2BeGe3Pt4 | Alexandria via LeMat-Bulk | PBE-GGA | relaxed
data_Dy2BeGe3Pt4
_cell_length_a 4.1965
_cell_length_b 4.1965
_cell_length_c 10.2023
_cell_angle_alpha 90.00
_cell_angle_beta 90.00
_cell_angle_gamma 90.00
_symmetry_space_group_name_H-M 'P -4 m 2'
_symmetry_Int_Tables_number 115
_symmetry_space_group_name_Hall 'P -4 -2'
loop_
_atom_site_label
_atom_site_fract_x
_atom_site_fract_y
_atom_site_fract_z
Dy1 0.0000 0.5000 0.2376
Be1 0.5000 0.5000 0.0000
Ge1 0.0000 0.0000 0.0000
Ge2 0.0000 0.5000 0.6399
Pt1 0.0000 0.0000 0.5000
Pt2 0.0000 0.5000 0.8768
Pt3 0.5000 0.5000 0.5000
# N(E_F) (states/eV/f.u.): 4.61
# Energy (eV/atom): -5.980
# Total magnetization (μB/cell): 0.00

=====

(6)
# Dy3Be2GePt9 | Alexandria via LeMat-Bulk | PBE-GGA | relaxed
data_Dy3Be2GePt9
_cell_length_a 5.7500
_cell_length_b 5.7500
_cell_length_c 9.3761
_cell_angle_alpha 90.00
_cell_angle_beta 90.00
_cell_angle_gamma 120.00
_symmetry_space_group_name_H-M 'P -3 m 1'
_symmetry_Int_Tables_number 164
_symmetry_space_group_name_Hall '-P 3 2"'
loop_
_atom_site_label
_atom_site_fract_x
_atom_site_fract_y
_atom_site_fract_z
Dy1 0.0000 0.0000 0.0000
Dy2 0.3333 0.6667 0.6077
Be1 0.3333 0.6667 0.1508
Ge1 0.0000 0.0000 0.5000
Pt1 0.0000 0.5000 0.0000
Pt2 0.1649 0.3299 0.3005
# N(E_F) (states/eV/f.u.): 3.25
# Energy (eV/atom): -6.182
# Total magnetization (μB/cell): 0.00